A plane-wave DFT calculation with PBE+U was carried out for crystalline NiHgRhO2 at its relaxed geometry.

Values from the calculation:
final energy = -0.1047 Ha/atom
symmetry = P4/mmm (123)
volume = 84.1 Å³ per cell

```
NiHgRhO2
1.0
-3.363 -1.148 -2.113
2.356 -4.025 -1.562
-1.364 -2.080 3.302
Ni Rh Hg O
1 1 1 2
direct
0.000 0.500 0.000
0.500 0.500 0.500
0.000 0.000 0.000
0.000 0.000 0.500
0.500 0.000 0.000
```